This record from Alexandria describes a relaxed CrCdPd3 crystal. The functional is PBE.

Lattice parameters (Å, degrees): 4.663 4.663 4.663 90.00 90.00 90.00
Fractional positions:
Cr 0.000 0.000 0.000
Cd 0.500 0.500 0.500
Pd 0.000 0.000 0.500
Pd 0.000 0.500 0.000
Pd 0.500 0.000 0.000

Output
- E_form (eV/atom) = 0.63
- space group = Pm-3m (221)
- V (A^3/atom) = 20.28

---

This record from Alexandria describes a relaxed Nd2I crystal. The functional is PBE.

Lattice parameters (Å, degrees): 4.697 5.886 14.890 90.00 90.00 90.00
Fractional positions:
Nd 0.000 0.000 0.163
Nd 0.000 0.000 0.837
Nd 0.000 0.500 0.337
Nd 0.000 0.500 0.663
Nd 0.500 0.000 0.337
Nd 0.500 0.000 0.663
Nd 0.500 0.500 0.163
Nd 0.500 0.500 0.837
I 0.000 0.000 0.500
I 0.000 0.500 0.000
I 0.500 0.000 0.000
I 0.500 0.500 0.500

Output
- space group = Fmmm (69)
- V (A^3/atom) = 34.31
- E_form (uncorrected) (eV per atom) = -0.4939

---

This record from Alexandria describes a relaxed PrCuHg crystal. The functional is PBE.

Lattice parameters (Å, degrees): 3.718 3.718 10.086 90.00 90.00 90.00
Fractional positions:
Pr 0.000 0.000 0.000
Pr 0.500 0.500 0.500
Cu 0.000 0.000 0.322
Cu 0.500 0.500 0.822
Hg 0.000 0.000 0.690
Hg 0.500 0.500 0.190

Output
- E_form (eV/atom) = -0.18
- space group = I4mm (107)
- V (A^3/atom) = 23.23

---

This record from Alexandria describes a relaxed Rb2NbTlBr8 crystal. The functional is PBE.

Lattice parameters (Å, degrees): 6.632 8.631 9.336 77.84 70.24 76.88
Fractional positions:
Rb 0.136 0.040 0.203
Rb 0.864 0.960 0.797
Nb 0.000 0.500 0.500
Tl 0.500 0.500 0.000
Br 0.025 0.533 0.762
Br 0.227 0.221 0.518
Br 0.346 0.619 0.360
Br 0.350 0.866 0.884
Br 0.650 0.134 0.116
Br 0.654 0.381 0.640
Br 0.773 0.779 0.482
Br 0.975 0.467 0.238

Output
- space group = P-1 (2)
- V (A^3/atom) = 40.38
- E_form (uncorrected) (eV per atom) = -1.1304

---

This record from Alexandria describes a relaxed ZnNi2Br crystal. The functional is PBE.

Lattice parameters (Å, degrees): 3.151 3.904 4.836 90.00 90.00 90.00
Fractional positions:
Zn 0.000 0.000 0.000
Ni 0.000 0.500 0.500
Ni 0.500 0.500 0.000
Br 0.500 0.000 0.500

Output
- space group = Pmmm (47)
- V (A^3/atom) = 14.87
- E_form (uncorrected) (eV per atom) = 0.4228

---

This record from Alexandria describes a relaxed CaMg2Pt crystal. The functional is PBE.

Lattice parameters (Å, degrees): 4.532 4.532 15.791 90.00 90.00 120.00
Fractional positions:
Ca 0.000 0.000 0.000
Ca 0.333 0.667 0.667
Ca 0.667 0.333 0.333
Mg 0.000 0.000 0.209
Mg 0.000 0.000 0.791
Mg 0.333 0.667 0.457
Mg 0.333 0.667 0.876
Mg 0.667 0.333 0.124
Mg 0.667 0.333 0.543
Pt 0.000 0.000 0.500
Pt 0.333 0.667 0.167
Pt 0.667 0.333 0.833

Output
- E_form (eV/atom) = -0.47
- space group = R-3m (166)
- V (A^3/atom) = 23.41

---

This record from Alexandria describes a relaxed Sm8As4S3 crystal. The functional is PBE.

Lattice parameters (Å, degrees): 8.217 8.217 8.199 119.83 119.83 90.10
Fractional positions:
Sm 0.246 0.246 0.495
Sm 0.249 0.249 0.997
Sm 0.249 0.751 0.000
Sm 0.250 0.750 0.500
Sm 0.750 0.250 0.500
Sm 0.751 0.249 0.000
Sm 0.751 0.751 0.003
Sm 0.754 0.754 0.505
As 0.000 0.000 0.000
As 0.000 0.500 0.000
As 0.500 0.000 0.000
As 0.500 0.500 0.500
S 0.000 0.000 0.500
S 0.000 0.500 0.500
S 0.500 0.000 0.500

Output
- space group = C2/m (12)
- V (A^3/atom) = 26.21
- E_form (uncorrected) (eV per atom) = -1.6310

---

This record from Alexandria describes a relaxed CeCoCuNi3 crystal. The functional is PBE.

Lattice parameters (Å, degrees): 7.031 7.031 4.981 90.00 90.00 137.41
Fractional positions:
Ce 0.178 0.822 0.750
Ce 0.822 0.178 0.250
Co 0.142 0.858 0.250
Co 0.858 0.142 0.750
Cu 0.380 0.620 0.750
Cu 0.620 0.380 0.250
Ni 0.241 0.241 0.000
Ni 0.241 0.241 0.500
Ni 0.350 0.650 0.250
Ni 0.650 0.350 0.750
Ni 0.759 0.759 0.000
Ni 0.759 0.759 0.500

Output
- E_form (eV/atom) = -0.04
- space group = Cmcm (63)
- V (A^3/atom) = 13.88

---

This record from Alexandria describes a relaxed MgReTe crystal. The functional is PBE.

Lattice parameters (Å, degrees): 3.270 3.270 6.698 90.00 90.00 120.00
Fractional positions:
Mg 0.000 0.000 0.000
Re 0.667 0.333 0.310
Te 0.333 0.667 0.589

Output
- space group = P3m1 (156)
- V (A^3/atom) = 20.68
- E_form (uncorrected) (eV per atom) = 0.3471

---

This record from Alexandria describes a relaxed BiHO2 crystal. The functional is PBE.

Lattice parameters (Å, degrees): 3.232 3.232 17.396 90.00 90.00 120.00
Fractional positions:
Bi 0.000 0.000 0.000
Bi 0.333 0.667 0.667
Bi 0.667 0.333 0.333
H 0.000 0.000 0.500
H 0.333 0.667 0.167
H 0.667 0.333 0.833
O 0.000 0.000 0.121
O 0.000 0.000 0.879
O 0.333 0.667 0.546
O 0.333 0.667 0.788
O 0.667 0.333 0.212
O 0.667 0.333 0.454

Output
- space group = R-3m (166)
- energy (Ha/atom) = -0.1339
- V (A^3/atom) = 13.12

---

This record from Alexandria describes a relaxed AlNi2Au crystal. The functional is PBE.

Lattice parameters (Å, degrees): 2.784 2.784 24.704 90.00 90.00 120.00
Fractional positions:
Al 0.000 0.000 0.000
Al 0.333 0.667 0.667
Al 0.667 0.333 0.333
Ni 0.000 0.000 0.259
Ni 0.000 0.000 0.515
Ni 0.333 0.667 0.182
Ni 0.333 0.667 0.926
Ni 0.667 0.333 0.593
Ni 0.667 0.333 0.848
Au 0.000 0.000 0.759
Au 0.333 0.667 0.425
Au 0.667 0.333 0.092

Output
- E_form (eV/atom) = -0.04
- space group = R3m (160)
- V (A^3/atom) = 13.82

---

This record from Alexandria describes a relaxed LiLa2AlGa6 crystal. The functional is PBE.

Lattice parameters (Å, degrees): 12.369 12.369 12.369 30.29 30.29 30.29
Fractional positions:
Li 0.070 0.070 0.070
Li 0.930 0.930 0.930
La 0.205 0.205 0.205
La 0.383 0.383 0.383
La 0.617 0.617 0.617
La 0.795 0.795 0.795
Al 0.000 0.000 0.000
Al 0.500 0.500 0.500
Ga 0.159 0.159 0.557
Ga 0.159 0.557 0.159
Ga 0.166 0.732 0.732
Ga 0.268 0.268 0.834
Ga 0.268 0.834 0.268
Ga 0.443 0.841 0.841
Ga 0.557 0.159 0.159
Ga 0.732 0.166 0.732
Ga 0.732 0.732 0.166
Ga 0.834 0.268 0.268
Ga 0.841 0.443 0.841
Ga 0.841 0.841 0.443

Output
- E_form (eV/atom) = -0.36
- space group = R-3m (166)
- V (A^3/atom) = 21.34